No. 1
Compound: V2IrPd6
Source: Alexandria
Functional: PBE
Structure: relaxed

Results
Fermi-level density of states ... 0.85 states/eV/atom
Calculated density ... 11.68 g/cm3
Magnetization ... 0.002 μB per cell
Calculated total energy ... -6.69 eV/atom
Formation energy ... -0.216 eV/atom

a b c (Å): 11.8285 3.8105 6.1894
angles (deg): 90.00 108.16 90.00
Closest atoms and distances in Å follow each position.
Space group C2/m (No. 12)
Symmetry-distinct sites (fractional):
V 0.0564 0.0000 0.3167 [4 per cell]  9 Pd 2.64-2.86, 2 Ir 2.66
Ir 0.0000 0.5000 0.0000 [2 per cell]  4 V 2.66, 8 Pd 2.71-2.76
Pd 0.1033 0.5000 0.6613 [4 per cell]  7 Pd 2.63-2.90, 4 V 2.72-2.78, 1 Ir 2.74
Pd 0.1628 0.0000 0.0005 [4 per cell]  2 V 2.64-2.72, 2 Ir 2.71, 8 Pd 2.75-2.90
Pd 0.2171 0.5000 0.3376 [4 per cell]  3 V 2.67-2.86, 8 Pd 2.70-2.87, 1 Ir 2.76

No. 2
Compound: VIrPd
Source: Alexandria
Functional: PBE
Structure: relaxed

Results
Fermi-level density of states ... 1.01 states/eV/atom
Energy relative to the lowest polymorph listed for this composition ... 0.000 eV/f.u.
Calculated density ... 13.51 g/cm3
Magnetization ... 1.851 μB per cell
Calculated total energy ... -8.03 eV/atom
Formation energy ... -0.302 eV/atom

a b c (Å): 3.7222 11.9026 3.8804
angles (deg): 90.00 90.00 90.00
Closest atoms and distances in Å follow each position.
Space group Cmcm (No. 63)
Symmetry-distinct sites (fractional):
V 0.0000 0.0835 0.2500 [4 per cell]  6 Ir 2.67-2.69, 4 Pd 2.70-2.79, 2 V 2.78
Ir 0.0000 0.4224 0.2500 [4 per cell]  6 V 2.67-2.69, 2 Ir 2.68, 4 Pd 2.79-2.81
Pd 0.0000 0.2518 0.7500 [4 per cell]  4 Pd 2.69, 4 V 2.70-2.79, 4 Ir 2.79-2.81

No. 3
Compound: V2Ir2Pd
Source: Alexandria
Functional: PBE
Structure: relaxed

Results
Fermi-level density of states ... 0.95 states/eV/atom
Energy relative to the lowest polymorph listed for this composition ... 0.394 eV/f.u.
Calculated density ... 13.21 g/cm3
Magnetization ... 0.000 μB per cell
Calculated total energy ... -8.51 eV/atom
Formation energy ... -0.282 eV/atom

a b c (Å): 7.3613 7.3613 2.7496
angles (deg): 90.00 90.00 90.00
Closest atoms and distances in Å follow each position.
Space group P4/mbm (No. 127)
Symmetry-distinct sites (fractional):
V 0.1479 0.3521 0.0000 [4 per cell]  6 Ir 2.55-2.56, 2 V 2.75, 2 Pd 2.81
Ir 0.1461 0.6461 0.5000 [4 per cell]  6 V 2.55-2.56, 2 Ir 2.75
Pd 0.0000 0.0000 0.0000 [2 per cell]  2 Pd 2.75, 4 V 2.81

No. 4
Compound: VIrPd
Source: Alexandria
Functional: PBE
Structure: relaxed

Results
Fermi-level density of states ... 1.72 states/eV/atom
Energy relative to the lowest polymorph listed for this composition ... 0.953 eV/f.u.
Calculated density ... 13.11 g/cm3
Magnetization ... 0.003 μB per cell
Calculated total energy ... -7.71 eV/atom
Formation energy ... 0.016 eV/atom

a b c (Å): 4.3795 4.3795 2.6653
angles (deg): 90.00 90.00 120.00
Closest atoms and distances in Å follow each position.
Space group P-6m2 (No. 187)
Symmetry-distinct sites (fractional):
V 0.0000 0.0000 0.0000 [1 per cell]  2 V 2.67, 6 Ir 2.86, 6 Pd 2.86
Ir 0.6667 0.3333 0.5000 [1 per cell]  3 Pd 2.53, 2 Ir 2.67
Pd 0.3333 0.6667 0.5000 [1 per cell]  3 Ir 2.53, 2 Pd 2.67

No. 5
Compound: V3IrPd
Source: Alexandria
Functional: PBE
Structure: relaxed

Results
Fermi-level density of states ... 1.55 states/eV/atom
Energy relative to the lowest polymorph listed for this composition ... 0.000 eV/f.u.
Calculated density ... 7.83 g/cm3
Magnetization ... 1.918 μB per cell
Calculated total energy ... -7.35 eV/atom
Formation energy ... 0.935 eV/atom

a b c (Å): 4.5744 4.5744 4.5744
angles (deg): 90.00 90.00 90.00
Closest atoms and distances in Å follow each position.
Space group Pm-3m (No. 221)
Symmetry-distinct sites (fractional):
V 0.0000 0.0000 0.5000 [3 per cell]  2 Ir 2.29
Ir 0.0000 0.0000 0.0000 [1 per cell]  6 V 2.29
Pd 0.5000 0.5000 0.5000 [1 per cell]  12 V 3.23

No. 6
Compound: V2Ir2Pd
Source: Alexandria
Functional: PBE
Structure: relaxed

Results
Fermi-level density of states ... 0.83 states/eV/atom
Energy relative to the lowest polymorph listed for this composition ... 0.000 eV/f.u.
Calculated density ... 13.29 g/cm3
Magnetization ... 0.000 μB per cell
Calculated total energy ... -8.59 eV/atom
Formation energy ... -0.360 eV/atom

a b c (Å): 7.2704 7.2704 2.8017
angles (deg): 90.00 90.00 90.00
Closest atoms and distances in Å follow each position.
Space group P4/mbm (No. 127)
Symmetry-distinct sites (fractional):
V 0.1635 0.3365 0.0000 [4 per cell]  6 Ir 2.50-2.59, 2 V 2.80
Ir 0.1349 0.6349 0.5000 [4 per cell]  6 V 2.50-2.59, 3 Ir 2.77-2.80
Pd 0.0000 0.0000 0.5000 [2 per cell]  2 Pd 2.80, 4 Ir 2.83, 8 V 3.06

No. 7
Compound: V2IrPd
Source: Alexandria
Functional: PBE
Structure: relaxed

Results
Fermi-level density of states ... 0.83 states/eV/atom
Calculated density ... 11.85 g/cm3
Magnetization ... 0.000 μB per cell
Calculated total energy ... -8.42 eV/atom
Formation energy ... -0.343 eV/atom

a b c (Å): 3.8435 3.8435 3.7978
angles (deg): 90.00 90.00 90.00
Closest atoms and distances in Å follow each position.
Space group P4/mmm (No. 123)
Symmetry-distinct sites (fractional):
V 0.0000 0.5000 0.0000 [2 per cell]  4 Ir 2.70, 4 Pd 2.70, 4 V 2.72
Ir 0.0000 0.0000 0.5000 [1 per cell]  8 V 2.70, 4 Pd 2.72
Pd 0.5000 0.5000 0.5000 [1 per cell]  8 V 2.70, 4 Ir 2.72

No. 8
Compound: Ir2PdW
Source: Alexandria
Functional: PBE
Structure: relaxed

Results
Fermi-level density of states ... 0.36 states/eV/atom
Energy relative to the lowest polymorph listed for this composition ... 0.640 eV/f.u.
Calculated density ... 18.36 g/cm3
Magnetization ... 0.000 μB per cell
Calculated total energy ... -8.87 eV/atom
Formation energy ... 0.096 eV/atom

a b c (Å): 6.2490 6.2490 6.2490
angles (deg): 90.00 90.00 90.00
Closest atoms and distances in Å follow each position.
Space group Fm-3m (No. 225)
Symmetry-distinct sites (fractional):
Ir 0.2500 0.2500 0.2500 [8 per cell]  4 W 2.71, 4 Pd 2.71
Pd 0.0000 0.0000 0.0000 [4 per cell]  8 Ir 2.71
W 0.0000 0.0000 0.5000 [4 per cell]  8 Ir 2.71

No. 9
Compound: Ir9PdW2
Source: Alexandria
Functional: PBE
Structure: relaxed

Results
Fermi-level density of states ... 0.68 states/eV/atom
Calculated density ... 20.62 g/cm3
Magnetization ... 0.000 μB per cell
Calculated total energy ... -9.44 eV/atom
Formation energy ... -0.208 eV/atom

a b c (Å): 3.8987 3.8987 11.6760
angles (deg): 90.00 90.00 90.00
Closest atoms and distances in Å follow each position.
Space group P4/mmm (No. 123)
Symmetry-distinct sites (fractional):
Ir 0.0000 0.0000 0.0000 [1 per cell]  4 Pd 2.76, 8 Ir 2.80
Ir 0.0000 0.0000 0.3354 [2 per cell]  8 Ir 2.72-2.74, 4 W 2.76
Ir 0.0000 0.5000 0.1724 [4 per cell]  2 W 2.66, 8 Ir 2.72-2.80, 2 Pd 2.80
Ir 0.0000 0.5000 0.5000 [2 per cell]  8 Ir 2.74-2.76, 4 W 2.81
Pd 0.5000 0.5000 0.0000 [1 per cell]  12 Ir 2.76-2.80
W 0.5000 0.5000 0.3270 [2 per cell]  12 Ir 2.66-2.81

No. 10
Compound: Ir2PdW
Source: Alexandria
Functional: PBE
Structure: relaxed

Results
Fermi-level density of states ... 0.90 states/eV/atom
Energy relative to the lowest polymorph listed for this composition ... 0.000 eV/f.u.
Calculated density ... 18.71 g/cm3
Magnetization ... 0.001 μB per cell
Calculated total energy ... -9.03 eV/atom
Formation energy ... -0.064 eV/atom

a b c (Å): 3.9612 3.9612 3.8156
angles (deg): 90.00 90.00 90.00
Closest atoms and distances in Å follow each position.
Space group P4/mmm (No. 123)
Symmetry-distinct sites (fractional):
Ir 0.0000 0.5000 0.0000 [2 per cell]  4 W 2.75, 4 Pd 2.75, 4 Ir 2.80
Pd 0.0000 0.0000 0.5000 [1 per cell]  8 Ir 2.75, 4 W 2.80
W 0.5000 0.5000 0.5000 [1 per cell]  8 Ir 2.75, 4 Pd 2.80

No. 11
Compound: Ir2PdW
Source: Alexandria
Functional: PBE
Structure: relaxed

Results
Fermi-level density of states ... 0.11 states/eV/atom
Energy relative to the lowest polymorph listed for this composition ... 1.646 eV/f.u.
Calculated density ... 16.39 g/cm3
Magnetization ... 0.000 μB per cell
Calculated total energy ... -8.62 eV/atom
Formation energy ... 0.347 eV/atom

a b c (Å): 7.1196 7.1196 5.3944
angles (deg): 90.00 90.00 90.00
Closest atoms and distances in Å follow each position.
Space group I-42d (No. 122)
Symmetry-distinct sites (fractional):
Ir 0.2154 0.2500 0.1250 [8 per cell]  2 W 2.44
Pd 0.0000 0.0000 0.5000 [4 per cell]  2 W 2.70, 4 Ir 2.78
W 0.0000 0.0000 0.0000 [4 per cell]  4 Ir 2.44, 2 Pd 2.70

No. 12
Compound: Ir2PdW2
Source: Alexandria
Functional: PBE
Structure: relaxed

Results
Fermi-level density of states ... 0.60 states/eV/atom
Calculated density ... 17.63 g/cm3
Magnetization ... 0.000 μB per cell
Calculated total energy ... -9.84 eV/atom
Formation energy ... -0.075 eV/atom

a b c (Å): 7.6220 7.6220 2.7843
angles (deg): 90.00 90.00 90.00
Closest atoms and distances in Å follow each position.
Space group P4/mbm (No. 127)
Symmetry-distinct sites (fractional):
Ir 0.1299 0.3701 0.0000 [4 per cell]  6 W 2.61-2.66, 3 Ir 2.78-2.80
Pd 0.0000 0.0000 0.0000 [2 per cell]  2 Pd 2.78, 4 Ir 2.99
W 0.1652 0.6652 0.5000 [4 per cell]  6 Ir 2.61-2.66, 2 W 2.78